The following is a DFT calculation (GGA-PBE) of crystalline GdVRuRh at its relaxed geometry.

Values from the calculation:
Space group = No. 216
Final energy = -10.141 eV/atom
Energy of formation = -0.184 eV per atom
Density of states at the Fermi level = 4.27 states/eV/cell

Structure (POSCAR):
```
GdVRuRh
1.0
-0.0292 4.4174 -1.2220
-3.8575 1.9201 -1.5623
-2.2325 3.0728 2.5655
V Ru Rh Gd
1 1 1 1
direct
0.2500 0.2500 0.2500 V
0.5000 0.5000 0.5000 Ru
0.0000 0.0000 0.0000 Rh
0.7500 0.7500 0.7500 Gd
```